First-principles (PBE) data for Dy2YBi3 after structural relaxation, as listed in OQMD via LeMat-Bulk.

Lattice parameters (Å, degrees): 4.4552 4.4552 10.9867 90.00 90.00 120.00
Positions (direct):
Dy: 0.3333 0.6667 0.8333
Dy: 0.6667 0.3333 0.1667
Bi: 0.3333 0.6667 0.3332
Bi: 0.0000 0.0000 0.0000
Bi: 0.6667 0.3333 0.6668
Y: 0.0000 0.0000 0.5000

Output
Symmetry: P-3m1
Total energy: -33.14 eV for the cell shown
ρ: 9.15 g/cm³
Total moment: 0.00 μB per formula unit